DFT (PBE+U) results for a relaxed structure of K3V2S4O18.

Electronic total energy: -6.28 eV per atom
Calculated volume: 15.954 Å³ per atom

abc: 9.249 18.515 10.062
angles: 90.00 90.09 90.00
Space group P2_1 (No. 4)
Inequivalent atoms, fractional coordinates:
K1 0.083 0.000 0.130 [2 per cell]
K2 0.090 0.003 0.605 [2 per cell]
K3 0.241 0.622 0.133 [2 per cell]
K4 0.259 0.618 0.619 [2 per cell]
K5 0.413 0.241 0.646 [2 per cell]
K6 0.416 0.236 0.117 [2 per cell]
V1 0.036 0.306 0.369 [2 per cell]
V2 0.050 0.299 0.872 [2 per cell]
V3 0.449 0.939 0.380 [2 per cell]
V4 0.464 0.937 0.878 [2 per cell]
S1 0.000 0.196 0.610 [2 per cell]
S2 0.001 0.195 0.125 [2 per cell]
S3 0.134 0.410 0.125 [2 per cell]
S4 0.138 0.409 0.624 [2 per cell]
S5 0.364 0.830 0.122 [2 per cell]
S6 0.365 0.831 0.628 [2 per cell]
S7 0.500 0.044 0.128 [2 per cell]
S8 0.500 0.047 0.638 [2 per cell]
O1 0.042 0.370 0.520 [2 per cell]
O2 0.045 0.723 0.010 [2 per cell]
O3 0.046 0.744 0.277 [2 per cell]
O4 0.046 0.756 0.778 [2 per cell]
O5 0.047 0.370 0.024 [2 per cell]
O6 0.055 0.733 0.518 [2 per cell]
O7 0.062 0.392 0.259 [2 per cell]
O8 0.073 0.388 0.756 [2 per cell]
O9 0.081 0.628 0.382 [2 per cell]
O10 0.086 0.631 0.845 [2 per cell]
O11 0.113 0.488 0.106 [2 per cell]
O12 0.115 0.486 0.605 [2 per cell]
O13 0.155 0.187 0.604 [2 per cell]
O14 0.156 0.184 0.133 [2 per cell]
O15 0.199 0.276 0.367 [2 per cell]
O16 0.213 0.854 0.123 [2 per cell]
O17 0.215 0.269 0.871 [2 per cell]
O18 0.216 0.857 0.637 [2 per cell]
O19 0.284 0.385 0.126 [2 per cell]
O20 0.284 0.969 0.382 [2 per cell]
O21 0.287 0.384 0.612 [2 per cell]
O22 0.301 0.967 0.880 [2 per cell]
O23 0.345 0.054 0.120 [2 per cell]
O24 0.345 0.057 0.644 [2 per cell]
O25 0.386 0.755 0.654 [2 per cell]
O26 0.387 0.753 0.135 [2 per cell]
O27 0.414 0.608 0.901 [2 per cell]
O28 0.416 0.614 0.374 [2 per cell]
O29 0.429 0.849 0.494 [2 per cell]
O30 0.435 0.851 0.988 [2 per cell]
O31 0.446 0.510 0.232 [2 per cell]
O32 0.451 0.869 0.226 [2 per cell]
O33 0.453 0.484 0.973 [2 per cell]
O34 0.454 0.515 0.739 [2 per cell]
O35 0.457 0.496 0.472 [2 per cell]
O36 0.460 0.873 0.728 [2 per cell]